# 1
Entry from Alexandria: an optimized crystal structure of LiTm6Te8 (PBE-GGA).

As for the density of states at the Fermi level: 0.31 states/eV per atom. The calculation puts the spin magnetization at 0.00 μB per atom. As for the formation energy without anion corrections: -1.257 eV/atom.

The space group is Fm-3m (No. 225) and the conventional cell measures 12.125, 12.125 and 12.125 Å, with angles of 90.00, 90.00 and 90.00 degrees. The distinct sites, in fractional coordinates, are Li at (0.000, 0.000, 0.000), Tm at (0.000, 0.250, 0.250), Te at (0.000, 0.000, 0.250) and Te at (0.250, 0.250, 0.250).

***

# 2
Entry from Alexandria: an optimized crystal structure of PdRhPb3 (PBE-GGA).

As for the density of states at the Fermi level: 0.77 states/eV per atom. The calculation puts the energy above the most stable polymorph in this dataset at 412 meV/atom. The calculation puts the spin magnetization at 0.00 μB per atom. The formation energy is 0.316 eV/atom.

The space group is Pm-3m (No. 221) and the conventional cell measures 5.224, 5.224 and 5.224 Å, with angles of 90.00, 90.00 and 90.00 degrees. The distinct sites, in fractional coordinates, are Pd at (0.000, 0.000, 0.000), Rh at (0.500, 0.500, 0.500) and Pb at (0.000, 0.500, 0.500).

***

# 3
Entry from Alexandria: an optimized crystal structure of Ba3ZrAu (PBE-GGA).

As for the density of states at the Fermi level: 1.80 states/eV per atom. The calculation puts the energy above the most stable polymorph in this dataset at 0 meV/atom. The calculation puts the spin magnetization at 0.64 μB per atom. The formation energy is 0.330 eV/atom.

The space group is Pm-3m (No. 221) and the conventional cell measures 6.294, 6.294 and 6.294 Å, with angles of 90.00, 90.00 and 90.00 degrees. The distinct sites, in fractional coordinates, are Ba at (0.000, 0.000, 0.500), Zr at (0.500, 0.500, 0.500) and Au at (0.000, 0.000, 0.000).

***

# 4
Entry from Alexandria: an optimized crystal structure of LiCe2Ru (PBE-GGA).

As for the density of states at the Fermi level: 2.80 states/eV per atom. The calculation puts the energy above the most stable polymorph in this dataset at 67 meV/atom. The calculation puts the spin magnetization at 0.36 μB per atom. The formation energy is -0.021 eV/atom.

The space group is R3m (No. 160, hexagonal axes) and the conventional cell measures 3.9519, 3.9519 and 25.1181 Å, with angles of 90.00, 90.00 and 120.00 degrees. The distinct sites, in fractional coordinates, are Li at (0.0000, 0.0000, 0.0000), Ce at (0.0000, 0.0000, 0.2283), Ce at (0.0000, 0.0000, 0.4395) and Ru at (0.0000, 0.0000, 0.8351).

***

- Which of these has the highest spin magnetization?
  Ba3ZrAu

***

- Which formula does entry 1 have?
  LiTm6Te8